The following is a DFT calculation (PBE) of crystalline CaLuAl2 at its relaxed geometry.

Geometry as CIF:
```
data_CaLuAl2
_cell_length_a 3.597
_cell_length_b 3.597
_cell_length_c 7.313
_cell_angle_alpha 90.00
_cell_angle_beta 90.00
_cell_angle_gamma 90.00
_space_group_name_H-M_alt 'P 4/m m m'
_space_group_IT_number 123
_space_group_name_Hall '-P 4 2'
loop_
_atom_site_label
_atom_site_fract_x
_atom_site_fract_y
_atom_site_fract_z
Ca1 0.000 0.000 0.000
Lu1 0.000 0.000 0.500
Al1 0.500 0.500 0.268
```

Values from the calculation:
total magnetization = 0.005 μB/f.u.
formation enthalpy at 0 K = -0.288 eV/atom
Fermi-level density of states = 1.85 states/eV per cell
energy above the lowest structure with this stoichiometry = 0.0 meV per atom